Density functional theory data (PBE) for crystalline Si2HgBi2 at its relaxed geometry.

Raw formation energy (eV/atom): 0.325
Calculated total energy (eV per atom): -3.46

a = 5.904 Å, b = 5.904 Å, c = 5.904 Å
α = 125.44°, β = 125.44°, γ = 80.80°
Fractional positions:
Si: 0.133 0.133 0.000
Si: 0.867 0.867 0.000
Hg: 0.500 0.500 0.000
Bi: 0.250 0.750 0.500
Bi: 0.750 0.250 0.500